# 1
Computed, not measured: a relaxed structure of TeOs2Pt at the GGA-PBE level of DFT.

a b c (Å): 4.725 4.725 2.997
angles (deg): 90.00 90.00 103.08
Atoms (fractional coordinates):
Pt 0.500 0.000 0.500
Os 0.000 0.000 0.000
Os 0.500 0.500 0.000
Te 0.000 0.500 0.500

## Properties
- DOS at the Fermi energy (states/eV per cell) = 3.6
- DFT total energy (eV/atom) = -7.21
- M_tot (μB per formula unit) = 0.00
- calculated volume (Å³/atom) = 16.30
- energy relative to the elements, uncorrected (eV/atom) = 0.704
- space-group type = Cmmm (65)

***

# 2
Computed, not measured: a relaxed structure of FePRh2 at the GGA-PBE level of DFT.

a b c (Å): 5.041 5.041 4.241
angles (deg): 65.18 65.18 32.30
Each line ends with the local moment (μB).
Atoms (fractional coordinates):
P 0.753 0.753 0.756  -0.06
Fe 0.462 0.462 0.534  2.35
Rh 0.037 0.037 0.959  0.31
Rh 0.248 0.248 0.251  0.21

## Properties
- DOS at the Fermi energy (states/eV per cell) = 2.9
- DFT total energy (eV/atom) = -7.43
- energy relative to the elements (meV/atom) = -290
- M_tot (μB per formula unit) = 2.75
- calculated volume (Å³/atom) = 12.95
- space-group type = Cm (8)

***

# 3
Computed, not measured: a relaxed structure of Tb4Sm2ThSc at the GGA-PBE level of DFT.

a b c (Å): 5.891 9.368 5.890
angles (deg): 51.06 90.00 90.00
Atoms (fractional coordinates):
Tb 0.000 0.258 0.242
Tb 0.500 0.258 0.742
Tb 0.500 0.742 0.258
Tb 0.000 0.742 0.758
Th 0.000 0.500 0.500
Sm 0.000 0.000 0.000
Sm 0.500 0.000 0.500
Sc 0.500 0.500 0.000

## Properties
- DOS at the Fermi energy (states/eV per cell) = 16.6
- DFT total energy (eV/atom) = -5.07
- energy relative to the elements (meV/atom) = 143
- M_tot (μB per formula unit) = 0.00
- calculated volume (Å³/atom) = 31.61
- space-group type = P4/mmm (123)

***

# 4
Computed, not measured: a relaxed structure of NdSb2Pd3 at the GGA-PBE level of DFT.

a b c (Å): 4.352 9.035 10.452
angles (deg): 106.53 90.00 103.94
Atoms (fractional coordinates):
Pd 0.618 0.237 0.192
Pd 0.382 0.763 0.808
Pd 0.785 0.570 0.612
Pd 0.957 0.914 0.662
Pd 0.043 0.086 0.338
Pd 0.677 0.354 0.965
Pd 0.215 0.430 0.388
Pd 0.323 0.646 0.035
Pd 0.500 0.000 0.500
Sb 0.537 0.074 0.783
Sb 0.360 0.720 0.546
Sb 0.198 0.395 0.126
Sb 0.802 0.605 0.874
Sb 0.640 0.280 0.454
Sb 0.463 0.926 0.217
Nd 0.843 0.686 0.299
Nd 0.157 0.314 0.701
Nd 0.000 0.000 0.000

## Properties
- DOS at the Fermi energy (states/eV per cell) = 8.1
- DFT total energy (eV/atom) = -5.54
- M_tot (μB per formula unit) = 0.00
- calculated volume (Å³/atom) = 21.19
- energy relative to the elements, uncorrected (eV/atom) = -0.779
- space-group type = C2/m (12)
- energy above the lowest structure with this stoichiometry (eV/atom) = 0.0000

***

# 5
Computed, not measured: a relaxed structure of KLa2Cd4 at the GGA-PBE level of DFT.

a b c (Å): 5.823 5.823 9.266
angles (deg): 71.69 71.69 90.00
Atoms (fractional coordinates):
La 0.394 0.394 0.212
La 0.606 0.606 0.788
K 0.000 0.000 0.000
Cd 0.500 0.000 0.000
Cd 0.803 0.803 0.393
Cd 0.000 0.500 0.000
Cd 0.197 0.197 0.607

## Properties
- DOS at the Fermi energy (states/eV per cell) = 5.3
- DFT total energy (eV/atom) = -1.77
- energy relative to the elements (meV/atom) = 318
- M_tot (μB per formula unit) = 0.00
- calculated volume (Å³/atom) = 40.21
- space-group type = I4/mmm (139)

***

# 6
Computed, not measured: a relaxed structure of KNbPd2 at the GGA-PBE level of DFT.

a b c (Å): 7.613 7.613 6.299
angles (deg): 52.82 52.82 90.00
Atoms (fractional coordinates):
Pd 0.875 0.934 0.750
Pd 0.375 0.316 0.750
Pd 0.684 0.125 0.250
Pd 0.066 0.625 0.250
Nb 0.750 0.250 0.500
Nb 0.000 0.000 0.000
K 0.500 0.500 0.000
K 0.250 0.750 0.500

## Properties
- DOS at the Fermi energy (states/eV per cell) = 2.3
- DFT total energy (eV/atom) = -4.77
- energy relative to the elements (meV/atom) = 619
- M_tot (μB per formula unit) = 0.00
- calculated volume (Å³/atom) = 23.69
- space-group type = I-42d (122)
- energy above the lowest structure with this stoichiometry (eV/atom) = 0.0539